Density functional theory data (PBE+U) for a geometry-optimized Mg2CrF structure.

Properties
total magnetization: 4.8 μB/f.u.
ΔE to the lowest computed polymorph: 183 kJ/mol of formula units

abc: 4.806 4.806 4.806
angles: 60.00 60.00 60.00
Atoms (fractional coordinates):
Mg 0.750 0.750 0.750
Mg 0.250 0.250 0.250
Cr 0.500 0.500 0.500
F 0.000 0.000 0.000